(1)
Computed, not measured: a geometry-optimized La2AlIn3 structure at the PBE level of DFT.

Computed properties:
- Calculated formation energy: -481 meV per atom
- Uncorrected energy: -4.12 eV/atom
- Crystal system: orthorhombic

Lattice parameters (Å, degrees): 7.834 9.823 17.040 90.00 90.00 90.00
Space group Fmmm (No. 69)
Symmetry-distinct sites (fractional):
La 0.248 0.000 0.000
La 0.250 0.250 0.250
Al 0.000 0.000 0.334
In 0.000 0.000 0.170
In 0.000 0.244 0.415



(2)
Computed, not measured: a geometry-optimized CeInCoPd structure at the PBE level of DFT.

Computed properties:
- Calculated formation energy: -350 meV per atom
- Uncorrected energy: -5.59 eV/atom
- Crystal system: cubic

Lattice parameters (Å, degrees): 6.729 6.729 6.729 90.00 90.00 90.00
Space group F-43m (No. 216)
Symmetry-distinct sites (fractional):
Ce 0.000 0.000 0.000
In 0.000 0.000 0.500
Co 0.250 0.250 0.250
Pd 0.250 0.250 0.750



(3)
Computed, not measured: a geometry-optimized AlReC2 structure at the PBE level of DFT.

Computed properties:
- Calculated formation energy: 463 meV per atom
- Uncorrected energy: -8.20 eV/atom
- Crystal system: tetragonal

Lattice parameters (Å, degrees): 4.685 4.685 9.156 90.00 90.00 90.00
Space group I-42d (No. 122)
Symmetry-distinct sites (fractional):
Al 0.000 0.000 0.000
Re 0.000 0.000 0.500
C 0.238 0.250 0.625



(4)
Computed, not measured: a geometry-optimized Ba2ReBN structure at the PBE level of DFT.

Computed properties:
- Uncorrected energy: -5.20 eV/atom
- E_form (uncorrected): 1059 meV per atom
- Crystal system: tetragonal

Lattice parameters (Å, degrees): 5.772 5.772 4.086 90.00 90.00 90.00
Space group P4/mmm (No. 123)
Symmetry-distinct sites (fractional):
Ba 0.000 0.500 0.000
Re 0.000 0.000 0.500
B 0.000 0.000 0.000
N 0.500 0.500 0.500



(5)
Computed, not measured: a geometry-optimized RbSrHg14 structure at the PBE level of DFT.

Computed properties:
- Calculated formation energy: -138 meV per atom
- Uncorrected energy: -0.57 eV/atom
- Crystal system: orthorhombic

Lattice parameters (Å, degrees): 11.270 11.472 15.548 90.00 90.00 90.00
Space group Imma (No. 74)
Symmetry-distinct sites (fractional):
Rb 0.000 0.250 0.109
Sr 0.000 0.000 0.500
Hg 0.128 0.250 0.790
Hg 0.132 0.014 0.296
Hg 0.141 0.250 0.590
Hg 0.145 0.044 0.911
Hg 0.148 0.250 0.390



(6)
Computed, not measured: a geometry-optimized RbBe2Al structure at the PBE level of DFT.

Computed properties:
- Calculated formation energy: 761 meV per atom
- Uncorrected energy: -2.28 eV/atom
- Crystal system: tetragonal

Lattice parameters (Å, degrees): 5.321 5.321 15.238 90.00 90.00 90.00
Space group I4_1/amd (No. 141, origin choice 2)
Symmetry-distinct sites (fractional):
Rb 0.000 0.250 0.375
Be 0.000 0.000 0.000
Al 0.000 0.250 0.875



(7)
Computed, not measured: a geometry-optimized Ba3SrGe2 structure at the PBE level of DFT.

Computed properties:
- Calculated formation energy: -463 meV per atom
- Uncorrected energy: -3.24 eV/atom
- Crystal system: orthorhombic

Lattice parameters (Å, degrees): 7.732 16.552 7.553 90.00 90.00 90.00
Space group Ibam (No. 72)
Symmetry-distinct sites (fractional):
Ba 0.000 0.000 0.250
Ba 0.213 0.311 0.000
Sr 0.000 0.500 0.250
Ge 0.234 0.383 0.500



(8)
Computed, not measured: a geometry-optimized BaBi2Cl2 structure at the PBE level of DFT.

Computed properties:
- Uncorrected energy: -3.36 eV/atom
- E_form (uncorrected): -682 meV per atom
- Crystal system: tetragonal

Lattice parameters (Å, degrees): 8.899 8.899 5.566 90.00 90.00 90.00
Space group P4/mbm (No. 127)
Symmetry-distinct sites (fractional):
Ba 0.000 0.000 0.000
Bi 0.120 0.380 0.000
Cl 0.170 0.330 0.500



(9)
Computed, not measured: a geometry-optimized AcAlGa structure at the PBE level of DFT.

Computed properties:
- Calculated formation energy: -543 meV per atom
- Uncorrected energy: -4.17 eV/atom
- Crystal system: hexagonal

Lattice parameters (Å, degrees): 4.4436 4.4436 4.7162 90.00 90.00 120.00
Space group P-6m2 (No. 187)
Symmetry-distinct sites (fractional):
Ac 0.0000 0.0000 0.0000
Al 0.3333 0.6667 0.5000
Ga 0.6667 0.3333 0.5000



(10)
Computed, not measured: a geometry-optimized La3Ga3Au2 structure at the PBE level of DFT.

Computed properties:
- Calculated formation energy: -739 meV per atom
- Uncorrected energy: -4.54 eV/atom
- Crystal system: orthorhombic

Lattice parameters (Å, degrees): 4.636 10.977 15.587 90.00 90.00 90.00
Space group Cmcm (No. 63)
Symmetry-distinct sites (fractional):
La 0.000 0.109 0.106
La 0.000 0.379 0.250
Ga 0.000 0.333 0.750
Ga 0.000 0.395 0.038
Au 0.000 0.188 0.604